[1]
Here is a geometry-optimized Pr3Re2Sb3N12 structure from the Open Quantum Materials Database. Energies are from PBE.

E   -7.71 eV per atom
Calculated density   7.9 g/cm3

Lattice parameters (Å, degrees): 11.328 11.328 11.328 109.47 109.47 109.47
Fractional positions:
N (0.476, 0.590, 0.170)
Pr (0.125, 0.375, 0.750)
Sb (0.125, 0.875, 0.250)
Re (0.000, 0.000, 0.500)
N (0.524, 0.614, 0.694)
Sb (0.750, 0.375, 0.625)
N (0.410, 0.830, 0.524)
N (0.024, 0.330, 0.910)
Pr (0.625, 0.875, 0.750)
N (0.194, 0.580, 0.170)
N (0.024, 0.194, 0.114)
Sb (0.750, 0.875, 0.125)
Pr (0.375, 0.750, 0.125)
N (0.806, 0.420, 0.830)
Pr (0.625, 0.250, 0.875)
N (0.420, 0.090, 0.614)
Sb (0.375, 0.250, 0.625)
Re (0.500, 0.000, 0.000)
Pr (0.375, 0.125, 0.250)
N (0.090, 0.614, 0.420)
N (0.920, 0.306, 0.330)
N (0.910, 0.024, 0.330)
Pr (0.750, 0.625, 0.875)
Re (0.000, 0.000, 0.000)
N (0.524, 0.410, 0.830)
N (0.306, 0.330, 0.920)
Sb (0.250, 0.625, 0.375)
N (0.830, 0.524, 0.410)
N (0.306, 0.476, 0.386)
Pr (0.875, 0.625, 0.250)
Sb (0.625, 0.750, 0.375)
N (0.080, 0.886, 0.410)
N (0.670, 0.080, 0.694)
Re (0.500, 0.500, 0.000)
N (0.614, 0.420, 0.090)
N (0.386, 0.306, 0.476)
N (0.080, 0.694, 0.670)
N (0.976, 0.670, 0.090)
N (0.476, 0.386, 0.306)
N (0.886, 0.410, 0.080)
Re (0.500, 0.000, 0.500)
N (0.590, 0.170, 0.476)
N (0.420, 0.830, 0.806)
N (0.976, 0.806, 0.886)
N (0.330, 0.910, 0.024)
N (0.920, 0.114, 0.590)
Sb (0.875, 0.250, 0.125)
Sb (0.875, 0.125, 0.750)
N (0.910, 0.386, 0.580)
Sb (0.625, 0.375, 0.250)
N (0.694, 0.524, 0.614)
N (0.330, 0.920, 0.306)
N (0.410, 0.080, 0.886)
N (0.590, 0.920, 0.114)
Re (0.000, 0.500, 0.500)
N (0.114, 0.590, 0.920)
N (0.114, 0.024, 0.194)
N (0.386, 0.580, 0.910)
Pr (0.250, 0.375, 0.125)
Pr (0.750, 0.125, 0.375)
N (0.580, 0.910, 0.386)
N (0.886, 0.976, 0.806)
Re (0.000, 0.500, 0.000)
Sb (0.125, 0.750, 0.875)
N (0.694, 0.670, 0.080)
N (0.670, 0.090, 0.976)
Pr (0.125, 0.250, 0.375)
N (0.170, 0.194, 0.580)
N (0.170, 0.476, 0.590)
N (0.090, 0.976, 0.670)
Sb (0.250, 0.125, 0.875)
Pr (0.875, 0.750, 0.625)
N (0.580, 0.170, 0.194)
N (0.830, 0.806, 0.420)
Sb (0.375, 0.625, 0.750)
Pr (0.250, 0.875, 0.625)
N (0.614, 0.694, 0.524)
N (0.806, 0.886, 0.976)
N (0.194, 0.114, 0.024)
Re (0.500, 0.500, 0.500)

=====

[2]
Here is a geometry-optimized KCuIrSe3 structure from the Open Quantum Materials Database. Energies are from PBE.

Distance to the lowest polymorph of the same formula   0 meV/atom
E   -4.48 eV per atom
Calculated density   6.3 g/cm3

Lattice parameters (Å, degrees): 11.240 3.840 12.919 90.00 90.00 90.00
Fractional positions:
Se (0.794, 0.000, 0.826)
Se (0.018, 0.000, 0.605)
Se (0.294, 0.500, 0.674)
K (0.459, 0.500, 0.339)
Ir (0.638, 0.000, 0.966)
Cu (0.219, 0.000, 0.278)
Se (0.243, 0.000, 0.955)
Cu (0.719, 0.500, 0.222)
Ir (0.862, 0.000, 0.466)
Ir (0.138, 0.500, 0.534)
Se (0.982, 0.500, 0.395)
Ir (0.362, 0.500, 0.034)
Se (0.743, 0.500, 0.545)
K (0.541, 0.000, 0.661)
Se (0.518, 0.500, 0.895)
Se (0.706, 0.000, 0.326)
Se (0.482, 0.000, 0.105)
Se (0.257, 0.000, 0.455)
Cu (0.781, 0.500, 0.722)
Se (0.206, 0.500, 0.174)
K (0.041, 0.500, 0.839)
Se (0.757, 0.500, 0.045)
Cu (0.281, 0.000, 0.778)
K (0.959, 0.000, 0.161)

=====

[3]
Here is a geometry-optimized ErTe2 structure from the Open Quantum Materials Database. Energies are from PBE.

E   -4.08 eV per atom
Calculated density   2.4 g/cm3

Lattice parameters (Å, degrees): 9.329 9.329 9.329 60.00 60.00 60.00
Last column: magnetic moment on the atom in μB.
Fractional positions:
Te (0.375, 0.875, 0.375)  0.13
Er (0.250, 0.250, 0.250)  -0.02
Te (0.375, 0.375, 0.375)  0.15
Er (0.500, 0.500, 0.500)  -0.02
Te (0.875, 0.375, 0.375)  0.10
Te (0.375, 0.375, 0.875)  0.17

=====

[4]
Here is a geometry-optimized KLuNO structure from the Open Quantum Materials Database. Energies are from PBE.

Distance to the lowest polymorph of the same formula   98 meV/atom
E   -5.98 eV per atom
Calculated density   4.8 g/cm3

Lattice parameters (Å, degrees): 6.536 8.799 5.906 90.00 90.00 90.00
Last column: magnetic moment on the atom in μB.
Fractional positions:
K (0.567, 0.877, 0.035)  0.01
K (0.433, 0.123, 0.535)  0.01
O (0.114, 0.557, 0.627)  0.01
O (0.614, 0.443, 0.627)  0.01
Lu (0.406, 0.598, 0.481)  0.03
K (0.933, 0.877, 0.535)  0.01
K (0.067, 0.123, 0.035)  0.01
N (0.511, 0.818, 0.560)  0.59
O (0.886, 0.443, 0.127)  0.01
N (0.989, 0.818, 0.060)  0.57
O (0.386, 0.557, 0.127)  0.01
N (0.011, 0.182, 0.560)  0.59
Lu (0.906, 0.402, 0.481)  0.03
Lu (0.594, 0.402, 0.981)  0.02
N (0.489, 0.182, 0.060)  0.56
Lu (0.094, 0.598, 0.981)  0.02

=====

[5]
Here is a geometry-optimized PrBPO structure from the Open Quantum Materials Database. Energies are from PBE.

Distance to the lowest polymorph of the same formula   516 meV/atom
E   -6.31 eV per atom
Calculated density   5.1 g/cm3

Lattice parameters (Å, degrees): 3.945 5.428 6.038 90.00 90.00 90.00
Fractional positions:
B (0.000, 0.330, 0.944)
P (0.000, 0.376, 0.262)
P (0.000, 0.624, 0.762)
O (0.500, 0.823, 0.457)
Pr (0.500, 0.221, 0.591)
B (0.000, 0.670, 0.444)
Pr (0.500, 0.779, 0.091)
O (0.500, 0.177, 0.957)

=====

[6]
Here is a geometry-optimized LiZrIn2Cu4 structure from the Open Quantum Materials Database. Energies are from PBE.

E   -4.02 eV per atom
Calculated density   7.6 g/cm3

Lattice parameters (Å, degrees): 4.461 4.461 6.355 90.00 90.00 90.00
Fractional positions:
Cu (0.000, 0.500, 0.262)
Li (0.000, 0.000, 0.500)
In (0.500, 0.500, 0.500)
Cu (0.500, 0.000, 0.262)
Zr (0.500, 0.500, 0.000)
In (0.000, 0.000, 0.000)
Cu (0.500, 0.000, 0.738)
Cu (0.000, 0.500, 0.738)

=====

[7]
Here is a geometry-optimized NaMgTaPt structure from the Open Quantum Materials Database. Energies are from PBE.

Distance to the lowest polymorph of the same formula   0 meV/atom
E   -5.21 eV per atom
Calculated density   10.3 g/cm3

Lattice parameters (Å, degrees): 4.590 4.590 4.590 60.00 60.00 60.00
Fractional positions:
Na (0.000, 0.000, 0.000)
Ta (0.250, 0.250, 0.250)
Pt (0.500, 0.500, 0.500)
Mg (0.750, 0.750, 0.750)

=====

[8]
Here is a geometry-optimized Li4AcPd2 structure from the Open Quantum Materials Database. Energies are from PBE.

E   -3.58 eV per atom
Calculated density   5.6 g/cm3

Lattice parameters (Å, degrees): 8.357 8.357 4.157 90.00 90.00 151.62
Fractional positions:
Li (0.812, 0.188, 0.500)
Li (0.320, 0.680, 0.000)
Ac (0.000, 0.000, 0.000)
Li (0.188, 0.812, 0.500)
Pd (0.585, 0.415, 0.500)
Pd (0.415, 0.585, 0.500)
Li (0.680, 0.320, 0.000)